# Ce2ErThS4, optimized geometry, DFT PBE-GGA
data_Ce2ErThS4
_chemical_formula_sum 'Ce2 Er1 Th1 S4'
_cell_length_a 6.880
_cell_length_b 3.982
_cell_length_c 6.949
_cell_angle_alpha 90.00
_cell_angle_beta 109.30
_cell_angle_gamma 90.00
_symmetry_space_group_name_H-M 'P 1'
_symmetry_Int_Tables_number 1
loop_
_symmetry_equiv_pos_as_xyz
'x,y,z'
loop_
_atom_site_label
_atom_site_fract_x
_atom_site_fract_y
_atom_site_fract_z
Ce1 0.000 0.000 0.000
Ce2 0.000 0.500 0.500
Er1 0.500 0.000 0.500
Th1 0.500 0.500 0.000
S1 0.254 0.000 0.742
S2 0.260 0.500 0.262
S3 0.740 0.500 0.738
S4 0.746 0.000 0.258
# Space group = P2/m (10)
# Formation energy from raw total energies = -1974 meV/atom
# Density = 7.47 g cm⁻³



# CeEr3Th4S8, optimized geometry, DFT PBE-GGA
data_CeEr3Th4S8
_chemical_formula_sum 'Ce1 Er3 Th4 S8'
_cell_length_a 8.084
_cell_length_b 8.084
_cell_length_c 8.084
_cell_angle_alpha 57.81
_cell_angle_beta 57.81
_cell_angle_gamma 57.81
_symmetry_space_group_name_H-M 'P 1'
_symmetry_Int_Tables_number 1
loop_
_symmetry_equiv_pos_as_xyz
'x,y,z'
loop_
_atom_site_label
_atom_site_fract_x
_atom_site_fract_y
_atom_site_fract_z
Ce1 0.000 0.000 0.000
Er1 0.000 0.500 0.500
Er2 0.500 0.000 0.500
Er3 0.500 0.500 0.000
Th1 0.000 0.000 0.500
Th2 0.000 0.500 0.000
Th3 0.500 0.000 0.000
Th4 0.500 0.500 0.500
S1 0.248 0.248 0.738
S2 0.248 0.738 0.248
S3 0.257 0.257 0.257
S4 0.262 0.752 0.752
S5 0.738 0.248 0.248
S6 0.743 0.743 0.743
S7 0.752 0.262 0.752
S8 0.752 0.752 0.262
# Space group = R-3m (166)
# Formation energy from raw total energies = -1908 meV/atom
# Density = 8.55 g cm⁻³